[1]
Crystalline SrPSe3 at its relaxed geometry, computed with PBE.

Calculated values
* calculated volume: 185.9 Å³/f.u.
* polymorph energy (0 for the lowest one): 9.027 eV/f.u.
* SG: Pm-3m, No. 221
* formation energy from raw total energies: 4.209 eV/f.u.
* DFT total energy: -0.196 Ry per atom

a b c (Å): 5.707 5.707 5.707
angles (deg): 90.00 90.00 90.00
Sites, in units of the cell vectors:
Sr: 0.000 0.000 0.000
Se: 0.000 0.500 0.000
Se: 0.000 0.000 0.500
Se: 0.500 0.000 0.000
P: 0.500 0.500 0.500

=====

[2]
Crystalline Ac3La4In at its relaxed geometry, computed with PBE.

Calculated values
* calculated volume: 304.6 Å³/f.u.
* polymorph energy (0 for the lowest one): 0.000 eV/f.u.
* SG: P4/mmm, No. 123
* DFT total energy: -0.328 Ry per atom
* ΔE_f: -10.81 kJ per mole of atoms

a b c (Å): 3.879 3.879 20.241
angles (deg): 90.00 90.00 90.00
Sites, in units of the cell vectors:
Ac: 0.500 0.500 0.233
Ac: 0.500 0.500 0.500
Ac: 0.500 0.500 0.767
In: 0.500 0.500 0.000
La: 0.000 0.000 0.899
La: 0.000 0.000 0.101
La: 0.000 0.000 0.367
La: 0.000 0.000 0.633

=====

[3]
Crystalline Sm6Ge2Se3Br at its relaxed geometry, computed with PBE.

Calculated values
* calculated volume: 320.8 Å³/f.u.
* SG: C2/m, No. 12
* formation energy from raw total energies: -17.580 eV/f.u.
* DFT total energy: -0.412 Ry per atom

a b c (Å): 4.205 8.506 9.422
angles (deg): 102.09 102.89 90.00
Sites, in units of the cell vectors:
Sm: 0.324 0.897 0.649
Sm: 0.669 0.578 0.338
Sm: 0.676 0.103 0.351
Sm: 0.007 0.276 0.015
Sm: 0.993 0.724 0.985
Sm: 0.331 0.422 0.662
Ge: 0.833 0.667 0.667
Ge: 0.167 0.333 0.333
Se: 0.500 0.500 0.000
Se: 0.839 0.163 0.679
Se: 0.161 0.837 0.321
Br: 0.500 0.000 0.000

=====

[4]
Crystalline Li2LuAu at its relaxed geometry, computed with PBE.

Calculated values
* calculated volume: 70.2 Å³/f.u.
* SG: Fm-3m, No. 225
* DFT total energy: -0.233 Ry per atom
* ΔE_f: -25.84 kJ per mole of atoms

a b c (Å): 4.630 4.630 4.630
angles (deg): 60.00 60.00 60.00
Sites, in units of the cell vectors:
Lu: 0.000 0.000 0.000
Au: 0.500 0.500 0.500
Li: 0.250 0.250 0.250
Li: 0.750 0.750 0.750

=====

Which of these has the highest calculated volume?
Sm6Ge2Se3Br

=====

What did the fourth record say?
Crystalline Li2LuAu at its relaxed geometry, computed with PBE.

Calculated values
* calculated volume: 70.2 Å³/f.u.
* SG: Fm-3m, No. 225
* DFT total energy: -0.233 Ry per atom
* ΔE_f: -25.84 kJ per mole of atoms

a b c (Å): 4.630 4.630 4.630
angles (deg): 60.00 60.00 60.00
Sites, in units of the cell vectors:
Lu: 0.000 0.000 0.000
Au: 0.500 0.500 0.500
Li: 0.250 0.250 0.250
Li: 0.750 0.750 0.750

=====

Which value of DFT total energy does entry 1 give?
-0.196 Ry per atom

=====

Which formula does entry 2 have?
Ac3La4In